No. 1
# MoWBr2

A crystal of MoWBr2 relaxed with PBEsol (meta-GGA SCAN, Alexandria via LeMat-Bulk).

* uncorrected formation energy: 74 kJ/mol of atoms
* VASP energy: -35.1092 eV per atom
* spin magnetization: 0.00 μB/atom
* distance to the lowest polymorph of the same formula: 0.000 eV/atom

a = 3.2357 Å, b = 4.6593 Å, c = 6.3675 Å
α = 111.46°, β = 104.72°, γ = 90.00°
Element x y z (fractional)
Mo 0.5838 0.5838 0.1676
Br 0.9545 0.9545 0.9091
Br 0.7283 0.2283 0.4567
W 0.2333 0.7333 0.4666

***

No. 2
# Mo2WBr

A crystal of Mo2WBr relaxed with PBEsol (meta-GGA SCAN, Alexandria via LeMat-Bulk).

* uncorrected formation energy: 120 kJ/mol of atoms
* VASP energy: -38.4876 eV per atom
* spin magnetization: 0.00 μB/atom
* distance to the lowest polymorph of the same formula: 0.687 eV/atom

a = 3.7268 Å, b = 3.7268 Å, c = 5.2778 Å
α = 110.67°, β = 110.67°, γ = 90.00°
Element x y z (fractional)
Mo 0.0000 0.0000 0.0000
Mo 0.7500 0.2500 0.5000
Br 0.2500 0.7500 0.5000
W 0.5000 0.5000 0.0000

***

No. 3
# Mo2WBr

A crystal of Mo2WBr relaxed with PBEsol (meta-GGA SCAN, Alexandria via LeMat-Bulk).

* uncorrected formation energy: 59 kJ/mol of atoms
* VASP energy: -39.1147 eV per atom
* spin magnetization: 0.00 μB/atom
* distance to the lowest polymorph of the same formula: 0.060 eV/atom

a = 3.0408 Å, b = 3.0408 Å, c = 8.5096 Å
α = 79.71°, β = 79.71°, γ = 60.00°
Element x y z (fractional)
Mo 0.2454 0.2454 0.2637
Mo 0.7546 0.7546 0.7363
Br 0.0000 0.0000 0.0000
W 0.5000 0.5000 0.5000

***

No. 4
# Mo2WBr

A crystal of Mo2WBr relaxed with PBEsol (meta-GGA SCAN, Alexandria via LeMat-Bulk).

* uncorrected formation energy: 70 kJ/mol of atoms
* VASP energy: -39.0029 eV per atom
* spin magnetization: 0.00 μB/atom
* distance to the lowest polymorph of the same formula: 0.171 eV/atom

a = 3.1137 Å, b = 3.7904 Å, c = 6.5642 Å
α = 90.00°, β = 90.00°, γ = 90.00°
Element x y z (fractional)
Mo 0.0000 0.0000 0.0534
Mo 0.5000 0.5000 0.2282
Br 0.5000 0.5000 0.8148
W 0.0000 0.0000 0.4035

***

No. 5
# MoWBr2

A crystal of MoWBr2 relaxed with PBEsol (meta-GGA SCAN, Alexandria via LeMat-Bulk).

* uncorrected formation energy: 145 kJ/mol of atoms
* VASP energy: -34.3750 eV per atom
* spin magnetization: 0.00 μB/atom
* distance to the lowest polymorph of the same formula: 0.734 eV/atom

a = 4.1978 Å, b = 4.1978 Å, c = 4.9228 Å
α = 115.24°, β = 115.24°, γ = 90.00°
Element x y z (fractional)
Mo 0.5000 0.5000 0.0000
Br 0.0000 0.0000 0.0000
Br 0.7500 0.2500 0.5000
W 0.2500 0.7500 0.5000

***

No. 6
# MoWBr2

A crystal of MoWBr2 relaxed with PBEsol (meta-GGA SCAN, Alexandria via LeMat-Bulk).

* uncorrected formation energy: 153 kJ/mol of atoms
* VASP energy: -34.2860 eV per atom
* spin magnetization: 0.00 μB/atom
* distance to the lowest polymorph of the same formula: 0.823 eV/atom

a = 3.1797 Å, b = 4.4715 Å, c = 4.4715 Å
α = 90.00°, β = 90.00°, γ = 90.00°
Element x y z (fractional)
Mo 0.5000 0.5000 0.5000
Br 0.0000 0.0000 0.5000
Br 0.0000 0.5000 0.0000
W 0.5000 0.0000 0.0000

***

No. 7
# MoWBr2

A crystal of MoWBr2 relaxed with PBEsol (meta-GGA SCAN, Alexandria via LeMat-Bulk).

* uncorrected formation energy: 98 kJ/mol of atoms
* VASP energy: -34.8538 eV per atom
* spin magnetization: 0.00 μB/atom
* distance to the lowest polymorph of the same formula: 0.255 eV/atom

a = 3.0479 Å, b = 3.0479 Å, c = 8.9661 Å
α = 80.21°, β = 80.21°, γ = 60.00°
Element x y z (fractional)
Mo 0.5000 0.5000 0.5000
Br 0.9058 0.9058 0.2825
Br 0.0942 0.0942 0.7175
W 0.0000 0.0000 0.0000

***

No. 8
# Mo2WBr

A crystal of Mo2WBr relaxed with PBEsol (meta-GGA SCAN, Alexandria via LeMat-Bulk).

* uncorrected formation energy: 54 kJ/mol of atoms
* VASP energy: -39.1743 eV per atom
* spin magnetization: 0.00 μB/atom
* distance to the lowest polymorph of the same formula: 0.000 eV/atom

a = 3.0587 Å, b = 3.0587 Å, c = 6.9230 Å
α = 90.00°, β = 90.00°, γ = 90.00°
Element x y z (fractional)
Mo 0.0000 0.0000 0.7693
Mo 0.0000 0.0000 0.2307
Br 0.5000 0.5000 0.5000
W 0.5000 0.5000 0.0000

***

No. 9
# YMo2Br

A crystal of YMo2Br relaxed with PBEsol (meta-GGA SCAN, Alexandria via LeMat-Bulk).

* uncorrected formation energy: 89 kJ/mol of atoms
* VASP energy: -28.3506 eV per atom
* spin magnetization: 0.00 μB/atom
* distance to the lowest polymorph of the same formula: 0.154 eV/atom

a = 2.9801 Å, b = 2.9801 Å, c = 9.0457 Å
α = 90.00°, β = 90.00°, γ = 110.56°
Element x y z (fractional)
Y 0.5000 0.5000 0.5000
Mo 0.0000 0.0000 0.2327
Mo 0.0000 0.0000 0.7673
Br 0.5000 0.5000 0.0000

***

No. 10
# YMo2Br

A crystal of YMo2Br relaxed with PBEsol (meta-GGA SCAN, Alexandria via LeMat-Bulk).

* uncorrected formation energy: 74 kJ/mol of atoms
* VASP energy: -28.5051 eV per atom
* spin magnetization: 0.00 μB/atom
* distance to the lowest polymorph of the same formula: 0.000 eV/atom

a = 3.0204 Å, b = 5.2181 Å, c = 5.4480 Å
α = 118.61°, β = 90.00°, γ = 90.00°
Element x y z (fractional)
Y 0.5000 0.0000 0.0000
Mo 0.0000 0.5000 0.5000
Mo 0.0000 0.0000 0.5000
Br 0.5000 0.5000 0.0000

***

No. 11
# YMoBr2

A crystal of YMoBr2 relaxed with PBEsol (meta-GGA SCAN, Alexandria via LeMat-Bulk).

* uncorrected formation energy: 9 kJ/mol of atoms
* VASP energy: -25.3160 eV per atom
* spin magnetization: 0.79 μB/atom
* distance to the lowest polymorph of the same formula: 0.151 eV/atom

a = 3.9534 Å, b = 3.9534 Å, c = 6.1487 Å
α = 108.75°, β = 108.75°, γ = 90.00°
Element x y z (fractional)
Y 0.2500 0.7500 0.5000
Mo 0.5000 0.5000 0.0000
Br 0.0000 0.0000 0.0000
Br 0.7500 0.2500 0.5000

***

No. 12
# YMoBr2

A crystal of YMoBr2 relaxed with PBEsol (meta-GGA SCAN, Alexandria via LeMat-Bulk).

* uncorrected formation energy: 13 kJ/mol of atoms
* VASP energy: -25.2812 eV per atom
* spin magnetization: 0.35 μB/atom
* distance to the lowest polymorph of the same formula: 0.185 eV/atom

a = 3.2225 Å, b = 3.3891 Å, c = 8.9275 Å
α = 90.00°, β = 90.00°, γ = 118.39°
Element x y z (fractional)
Y 0.5000 0.0000 0.0000
Mo 0.5000 0.0000 0.5000
Br 0.0000 0.0000 0.7261
Br 0.0000 0.0000 0.2739